A geometry-optimized VSi4O10 structure, computed with PBE+U.

a b c (Å): 7.519 7.519 16.004
angles (deg): 90.00 90.00 90.00
Space group P4/ncc (No. 130, origin choice 2)
Inequivalent atoms, fractional coordinates:
V: 0.250 0.250 0.080 [4 per cell]
Si: 0.022 0.063 0.348 [16 per cell]
O: 0.002 0.225 0.867 [16 per cell]
O: 0.025 0.525 0.250 [8 per cell]
O: 0.047 0.116 0.094 [16 per cell]

Density ... 2.37 Mg/m³
Size of the total moment ... 0.96 μB/f.u.
E_tot ... -7.737 eV/atom
Crystal system ... tetragonal
Density of states at the Fermi level ... 0.000 states/eV/atom